# 1
First-principles (PBE-GGA) data for AgTe2N2 after structural relaxation, as listed in the Alexandria database.

The structure in POSCAR format:
```
AgTe2N2
1.0
3.9938 0.0000 0.0000
0.0000 3.9938 0.0000
0.0000 0.0000 6.6534
N Te Ag
2 2 1
Cartesian
0.0000 1.9969 0.0000
1.9969 0.0000 0.0000
0.0000 0.0000 3.3267
0.0000 0.0000 0.0000
1.9969 1.9969 3.3267
```

Output
Formation energy from raw total energies in kJ per mole of atoms: 125
Magnetization in μB/f.u.: 0.0
Offset from the most stable computed form in eV per atom: 0.026
Space group: P4/mmm (123)
ρ in g/cm3: 6.12
N(E_F) in states/eV/f.u.: 2.80

=====

# 2
First-principles (PBE-GGA) data for AgTe2N after structural relaxation, as listed in the Alexandria database.

The structure in POSCAR format:
```
AgTe2N
1.0
-5.1576 1.2562 2.1625
0.5495 -4.2661 3.7886
0.2755 2.3186 6.9069
Te Ag N
4 2 2
Cartesian
-0.5928 -1.8419 4.5160
-3.8639 -0.5967 10.1227
-2.7256 0.7437 3.4008
-1.4830 0.3121 7.6765
-3.5931 1.0349 6.0225
0.0000 0.0000 0.0000
-2.3041 -1.5050 2.9756
-0.7395 -1.7263 6.8355
```

Output
Formation energy from raw total energies in kJ per mole of atoms: 66
Magnetization in μB/f.u.: 0.0
Space group: I-42d (122)
ρ in g/cm3: 6.29
N(E_F) in states/eV/f.u.: 0.22

=====

# 3
First-principles (PBE-GGA) data for AgTe2N after structural relaxation, as listed in the Alexandria database.

The structure in POSCAR format:
```
AgTe2N
1.0
-4.8216 -0.1461 1.4077
-6.9316 -0.7823 7.1283
16.1993 11.9630 1.5043
Ag Te N
2 4 2
Cartesian
5.1619 5.7503 2.8872
-0.7158 5.2843 7.1531
-2.6040 3.4396 6.2092
7.0501 7.5951 3.8311
1.1718 7.1292 8.0980
3.2742 3.9054 1.9423
-3.3693 -0.1919 3.0533
7.8154 11.2265 6.9870
```

Output
Formation energy from raw total energies in kJ per mole of atoms: 5
Magnetization in μB/f.u.: 0.0
Space group: P-1 (2)
ρ in g/cm3: 4.18
N(E_F) in states/eV/f.u.: 1.90

=====

# 4
First-principles (PBE-GGA) data for AgTeN3 after structural relaxation, as listed in the Alexandria database.

The structure in POSCAR format:
```
AgTeN3
1.0
3.9972 0.0000 0.0000
0.0000 3.9972 0.0000
0.0000 0.0000 3.9972
Te N Ag
1 3 1
Cartesian
0.0000 0.0000 0.0000
1.9986 0.0000 0.0000
0.0000 1.9986 0.0000
0.0000 0.0000 1.9986
1.9986 1.9986 1.9986
```

Output
Formation energy from raw total energies in kJ per mole of atoms: 180
Magnetization in μB/f.u.: 0.0
Space group: Pm-3m (221)
ρ in g/cm3: 7.22
N(E_F) in states/eV/f.u.: 4.69

=====

# 5
First-principles (PBE-GGA) data for Ag3TeN after structural relaxation, as listed in the Alexandria database.

The structure in POSCAR format:
```
Ag3TeN
1.0
-4.0722 -1.8504 0.6907
1.8058 -2.8470 3.0195
-0.8000 2.9924 3.2999
Ag Te N
3 1 1
Cartesian
0.9029 -1.4235 1.5098
-2.0361 -0.9252 0.3454
-0.4000 1.4962 1.6500
-1.5332 -0.8525 3.5051
0.0000 0.0000 0.0000
```

Output
Formation energy from raw total energies in kJ per mole of atoms: 60
Magnetization in μB/f.u.: 0.0
Offset from the most stable computed form in eV per atom: 0.000
Space group: Pm-3m (221)
ρ in g/cm3: 8.33
N(E_F) in states/eV/f.u.: 4.00

=====

# 6
First-principles (PBE-GGA) data for AgTeN3 after structural relaxation, as listed in the Alexandria database.

The structure in POSCAR format:
```
AgTeN3
1.0
4.0524 0.0000 0.0000
0.0000 4.0524 0.0000
0.0000 0.0000 4.0524
N Ag Te
3 1 1
Cartesian
0.0000 0.0000 2.0262
2.0262 0.0000 0.0000
0.0000 2.0262 0.0000
0.0000 0.0000 0.0000
2.0262 2.0262 2.0262
```

Output
Formation energy from raw total energies in kJ per mole of atoms: 229
Magnetization in μB/f.u.: 0.0
Space group: Pm-3m (221)
ρ in g/cm3: 6.92
N(E_F) in states/eV/f.u.: 4.23

=====

# 7
First-principles (PBE-GGA) data for AgTe2N2 after structural relaxation, as listed in the Alexandria database.

The structure in POSCAR format:
```
AgTe2N2
1.0
1.6313 -2.8254 0.0000
1.6313 2.8254 0.0000
0.0000 0.0000 10.1057
Te Ag N
2 1 2
Cartesian
1.6313 -0.9418 2.7106
1.6313 0.9418 7.3951
0.0000 0.0000 0.0000
1.6313 -0.9418 4.9095
1.6313 0.9418 5.1962
```

Output
Formation energy from raw total energies in kJ per mole of atoms: 132
Magnetization in μB/f.u.: 0.0
Offset from the most stable computed form in eV per atom: 0.097
Space group: P-3m1 (164)
ρ in g/cm3: 6.97
N(E_F) in states/eV/f.u.: 2.52

=====

# 8
First-principles (PBE-GGA) data for Ag3TeN after structural relaxation, as listed in the Alexandria database.

The structure in POSCAR format:
```
Ag3TeN
1.0
5.3662 0.0000 0.0000
0.0000 5.3662 0.0000
0.0000 0.0000 5.3662
N Ag Te
1 3 1
Cartesian
2.6831 2.6831 2.6831
2.6831 0.0000 0.0000
0.0000 2.6831 0.0000
0.0000 0.0000 2.6831
0.0000 0.0000 0.0000
```

Output
Formation energy from raw total energies in kJ per mole of atoms: 127
Magnetization in μB/f.u.: 2.0
Offset from the most stable computed form in eV per atom: 0.692
Space group: Pm-3m (221)
ρ in g/cm3: 5.00
N(E_F) in states/eV/f.u.: 2.19